Model a:
Here is a crystal of CaCuOs2 relaxed with PBEsol from the Alexandria database. Energies are from meta-GGA SCAN.

```
CaCuOs2
1.0
-0.710 -2.390 -0.339
1.966 0.106 -4.865
3.253 -1.510 3.832
Ca Cu Os
1 1 2
direct
0.500 0.000 0.000 Ca
0.500 0.500 0.500 Cu
0.000 0.500 0.000 Os
0.000 0.000 0.500 Os
```

Calculated values
Space-group type: No. 65
Crystal system: orthorhombic

=====

Model b:
Here is a crystal of CaCuOs2 relaxed with PBEsol from the Alexandria database. Energies are from meta-GGA SCAN.

```
CaCuOs2
1.0
4.418 0.000 0.000
2.209 3.826 0.000
2.209 1.275 3.607
Ca Cu Os
1 1 2
direct
0.000 0.000 0.000 Ca
0.500 0.500 0.500 Cu
0.250 0.250 0.250 Os
0.750 0.750 0.750 Os
```

Calculated values
Space-group type: No. 225
Crystal system: cubic

=====

Ranked by calculated energy, most stable first: model a, model b.

=====

Model a:
Here is a crystal of CaCuRe relaxed with PBEsol from the Alexandria database. Energies are from meta-GGA SCAN.

```
CaCuRe
1.0
-0.403 -4.166 -1.270
3.547 -2.294 -1.133
1.438 -3.222 2.584
Re Ca Cu
1 1 1
direct
0.000 0.000 0.000 Re
0.500 0.500 0.500 Ca
0.250 0.250 0.250 Cu
```

Calculated values
Space-group type: No. 216
Crystal system: cubic

=====

Model b:
Here is a crystal of CaCuRe relaxed with PBEsol from the Alexandria database. Energies are from meta-GGA SCAN.

```
CaCuRe
1.0
-2.664 0.500 -0.754
0.869 -2.642 0.426
-1.861 0.500 6.905
Re Ca Cu
1 1 1
direct
0.667 0.333 0.355 Re
0.000 0.000 0.998 Ca
0.333 0.667 0.646 Cu
```

Calculated values
Space-group type: No. 156
Crystal system: trigonal

=====

Ranked by calculated energy, most stable first: model b, model a.

=====

Model a:
Here is a crystal of SrCaCu relaxed with PBEsol from the Alexandria database. Energies are from meta-GGA SCAN.

```
SrCaCu
1.0
4.210 0.000 0.000
-2.105 3.646 0.000
0.000 0.000 6.798
Sr Ca Cu
1 1 1
direct
0.667 0.333 0.417 Sr
0.000 0.000 0.904 Ca
0.333 0.667 0.679 Cu
```

Calculated values
Space-group type: No. 156
Crystal system: trigonal

=====

Model b:
Here is a crystal of SrCaCu relaxed with PBEsol from the Alexandria database. Energies are from meta-GGA SCAN.

```
SrCaCu
1.0
3.673 0.000 0.000
0.000 3.673 0.000
-1.837 -1.837 6.669
Sr Ca Cu
1 1 1
direct
0.300 0.300 0.600 Sr
0.040 0.040 0.080 Ca
0.660 0.660 0.320 Cu
```

Calculated values
Space-group type: No. 107
Crystal system: tetragonal

=====

Ranked by calculated energy, most stable first: model b, model a.

=====

Model a:
Here is a crystal of CaTaCu relaxed with PBEsol from the Alexandria database. Energies are from meta-GGA SCAN.

```
CaTaCu
1.0
-1.141 -2.637 -0.719
1.379 0.618 -4.452
2.873 -2.084 3.083
Ca Cu Ta
1 1 1
direct
0.994 0.000 0.000 Ca
0.554 0.333 0.667 Cu
0.453 0.667 0.333 Ta
```

Calculated values
Space-group type: No. 156
Crystal system: trigonal

=====

Model b:
Here is a crystal of CaTaCu relaxed with PBEsol from the Alexandria database. Energies are from meta-GGA SCAN.

```
CaTaCu
1.0
3.081 0.000 0.000
0.000 3.081 0.000
-1.540 -1.540 6.108
Ca Cu Ta
1 1 1
direct
0.009 0.009 0.019 Ca
0.687 0.687 0.373 Cu
0.304 0.304 0.608 Ta
```

Calculated values
Space-group type: No. 107
Crystal system: tetragonal

=====

Ranked by calculated energy, most stable first: model b, model a.